The following is a DFT calculation (GGA-PBE) of crystalline Gd3GeO at its relaxed geometry.

Structure (extended XYZ):
```
5
Lattice="4.757 0.000 0.000 0.000 4.757 0.000 0.000 0.000 4.757" Properties=species:S:1:pos:R:3 pbc="T T T"
Gd 0.000 0.000 2.378
Gd 0.000 2.378 0.000
Gd 2.378 0.000 0.000
Ge 2.378 2.378 2.378
O 0.000 0.000 0.000
```

Total DFT energy (no corrections)   -11.760 eV per atom
Energy relative to the elements, uncorrected   -1396 meV per atom
Crystal system   cubic
Symmetry   Pm-3m, No. 221